(1)
Below is a relaxed Nd2MnCuS5 crystal, with properties calculated at the GGA-PBE level.

Computed properties:
The value obtained for the uncorrected formation energy is -1.310 eV/atom. The value obtained for the total energy is -0.45100 Ry/atom. The theoretical density is 5.233 g cm⁻³. The calculation puts the density of states at the Fermi level at 5.349 states/eV per cell.

a b c (Å): 3.8646 8.4630 11.3057
angles (deg): 90.00 90.00 103.20
Last column: magnetic moment on the atom in μB.
Fractional positions:
Nd 0.8719 0.7438 0.8063  0.02
Nd 0.1134 0.2269 0.6944  0.03
Nd 0.1281 0.2562 0.3063  0.02
Nd 0.8866 0.7731 0.1944  0.03
Mn 0.8011 0.6021 0.5155  3.71
Mn 0.1989 0.3979 0.0155  3.71
Cu 0.5680 0.1360 0.9523  -0.02
Cu 0.4320 0.8640 0.4523  -0.02
S 0.3489 0.6978 0.0034  -0.01
S 0.6959 0.3918 0.8555  0.01
S 0.4988 0.9976 0.7788  0.01
S 0.2856 0.5711 0.6604  0.00
S 0.9404 0.8808 0.5573  -0.01
S 0.6511 0.3022 0.5034  -0.01
S 0.3041 0.6082 0.3555  0.01
S 0.5012 0.0024 0.2788  0.01
S 0.7144 0.4289 0.1604  0.00
S 0.0596 0.1192 0.0573  -0.01

(2)
Below is a relaxed NdMnCuSe3 crystal, with properties calculated at the GGA-PBE level.

Computed properties:
The value obtained for the uncorrected formation energy is -0.951 eV/atom. The value obtained for the total energy is -0.41889 Ry/atom. The theoretical density is 6.222 g cm⁻³. The calculation puts the density of states at the Fermi level at 1.727 states/eV per cell.

a b c (Å): 3.9588 7.8939 8.7631
angles (deg): 103.16 90.00 90.00
Last column: magnetic moment on the atom in μB.
Fractional positions:
Nd 0.2500 0.1904 0.2468  0.09
Nd 0.7500 0.8096 0.7532  0.09
Mn 0.2500 0.6661 0.1586  4.27
Mn 0.7500 0.3339 0.8414  4.27
Cu 0.2500 0.0800 0.5822  0.03
Cu 0.7500 0.9200 0.4178  0.03
Se 0.7500 0.9015 0.1330  0.05
Se 0.2500 0.0985 0.8670  0.05
Se 0.2500 0.7509 0.4797  0.03
Se 0.7500 0.2491 0.5203  0.03
Se 0.7500 0.4298 0.1526  0.07
Se 0.2500 0.5702 0.8474  0.07

(3)
Below is a relaxed Nd2Mn2CuSi3 crystal, with properties calculated at the GGA-PBE level.

Computed properties:
The value obtained for the uncorrected formation energy is -0.389 eV/atom. The value obtained for the total energy is -0.47176 Ry/atom. The theoretical density is 6.150 g cm⁻³. The calculation puts the density of states at the Fermi level at 5.941 states/eV per cell.

a b c (Å): 9.2047 9.2047 3.9725
angles (deg): 90.00 90.00 154.01
Last column: magnetic moment on the atom in μB.
Fractional positions:
Nd 0.9007 0.0993 0.0000  -0.04
Nd 0.1009 0.8991 0.5000  -0.11
Mn 0.2510 0.7490 0.0000  2.88
Mn 0.7528 0.2472 0.5000  3.01
Cu 0.6670 0.3330 0.0000  0.09
Si 0.5370 0.4630 0.0000  0.00
Si 0.4639 0.5361 0.5000  -0.01
Si 0.3267 0.6733 0.5000  -0.09

(4)
Below is a relaxed NdSmMnCu crystal, with properties calculated at the GGA-PBE level.

Computed properties:
The calculation puts the energy of formation from the pure elements at 0.10 eV per atom. The value obtained for the total energy is -0.41087 Ry/atom. The theoretical density is 7.343 g cm⁻³. The calculation puts the density of states at the Fermi level at 4.062 states/eV per cell.

a b c (Å): 5.0931 5.0931 5.0931
angles (deg): 60.00 60.00 60.00
Last column: magnetic moment on the atom in μB.
Fractional positions:
Mn 0.7500 0.7500 0.7500  3.52
Nd 0.0000 0.0000 0.0000  -0.18
Cu 0.2500 0.2500 0.2500  -0.01
Sm 0.5000 0.5000 0.5000  -0.20

(5)
Below is a relaxed TbNdMnCu crystal, with properties calculated at the GGA-PBE level.

Computed properties:
The calculation puts the energy of formation from the pure elements at 0.08 eV per atom. The value obtained for the total energy is -0.41069 Ry/atom. The theoretical density is 7.687 g cm⁻³. The calculation puts the density of states at the Fermi level at 4.048 states/eV per cell.

a b c (Å): 5.0504 5.0504 5.0504
angles (deg): 60.00 60.00 60.00
Last column: magnetic moment on the atom in μB.
Fractional positions:
Nd 0.0000 0.0000 0.0000  -0.17
Mn 0.7500 0.7500 0.7500  3.48
Tb 0.5000 0.5000 0.5000  -0.23
Cu 0.2500 0.2500 0.2500  -0.01

(6)
Below is a relaxed NdThMnCu crystal, with properties calculated at the GGA-PBE level.

Computed properties:
The calculation puts the energy of formation from the pure elements at 0.12 eV per atom. The value obtained for the total energy is -0.45863 Ry/atom. The theoretical density is 8.937 g cm⁻³. The calculation puts the density of states at the Fermi level at 6.001 states/eV per cell.

a b c (Å): 5.0659 5.0659 5.0659
angles (deg): 60.00 60.00 60.00
Last column: magnetic moment on the atom in μB.
Fractional positions:
Mn 0.7500 0.7500 0.7500  2.94
Nd 0.5000 0.5000 0.5000  -0.24
Cu 0.2500 0.2500 0.2500  -0.01
Th 0.0000 0.0000 0.0000  -0.28

(7)
Below is a relaxed Nd2MnZn3Cu12 crystal, with properties calculated at the GGA-PBE level.

Computed properties:
The calculation puts the energy of formation from the pure elements at 0.16 eV per atom. The value obtained for the total energy is -0.28122 Ry/atom. The theoretical density is 7.204 g cm⁻³. The calculation puts the density of states at the Fermi level at 8.174 states/eV per cell.

a b c (Å): 9.6681 9.6681 9.6681
angles (deg): 37.49 37.49 37.49
Last column: magnetic moment on the atom in μB.
Fractional positions:
Nd 0.6497 0.6497 0.6497  -0.10
Nd 0.3503 0.3503 0.3503  -0.10
Mn 0.0000 0.0000 0.0000  3.52
Zn 0.5000 0.0000 0.0000  0.00
Zn 0.0000 0.5000 0.0000  0.00
Zn 0.0000 0.0000 0.5000  0.00
Cu 0.4195 0.4195 0.8065  0.00
Cu 0.9268 0.9268 0.3599  0.05
Cu 0.3599 0.9268 0.9268  0.05
Cu 0.8065 0.4195 0.4195  0.00
Cu 0.9268 0.3599 0.9268  0.05
Cu 0.4195 0.8065 0.4195  0.00
Cu 0.5805 0.5805 0.1935  0.00
Cu 0.0732 0.0732 0.6401  0.05
Cu 0.6401 0.0732 0.0732  0.05
Cu 0.1935 0.5805 0.5805  0.00
Cu 0.0732 0.6401 0.0732  0.05
Cu 0.5805 0.1935 0.5805  0.00

(8)
Below is a relaxed MnCu3Ni3 crystal, with properties calculated at the GGA-PBE level.

Computed properties:
The calculation puts the energy of formation from the pure elements at 0.13 eV per atom. The value obtained for the total energy is -0.39757 Ry/atom. The theoretical density is 8.078 g cm⁻³. The calculation puts the density of states at the Fermi level at 7.067 states/eV per cell.

a b c (Å): 5.7429 5.7429 5.2566
angles (deg): 90.00 90.00 90.78
Last column: magnetic moment on the atom in μB.
Fractional positions:
Mn 0.2708 0.2708 0.0000  3.48
Mn 0.7292 0.7292 0.0000  3.48
Cu 0.2746 0.2746 0.5000  0.00
Cu 0.2788 0.7212 0.5000  0.01
Cu 0.7212 0.2788 0.5000  0.01
Cu 0.2601 0.7399 0.0000  0.05
Cu 0.7399 0.2601 0.0000  0.05
Cu 0.7254 0.7254 0.5000  0.00
Ni 0.0000 0.0000 0.7419  0.38
Ni 0.5000 0.0000 0.2526  0.29
Ni 0.0000 0.5000 0.2526  0.29
Ni 0.5000 0.0000 0.7474  0.29
Ni 0.0000 0.5000 0.7474  0.29
Ni 0.0000 0.0000 0.2581  0.38

- What is the formula in the seventh record?
  Nd2MnZn3Cu12

- Which formula does entry 4 have?
  NdSmMnCu

- Which formula does entry 6 have?
  NdThMnCu

- Which value of theoretical density does entry 3 give?
  6.150 g cm⁻³